(1)
ScIrNO2 PBE-GGA optimized geometry; E_tot = -7.30 eV/atom; mass density = 7.8 g/cm³; magnetic moment = 0.00 μB per atom
1.0
4.013 0.000 0.000
0.000 4.013 0.000
0.000 0.000 3.761
Sc Ir N O
1 1 1 2
direct
0.000 0.000 0.000
0.500 0.500 0.500
0.500 0.500 0.000
0.000 0.500 0.500
0.500 0.000 0.500

***

(2)
NpTiCl6 PBE-GGA optimized geometry; E_tot = -5.61 eV/atom; mass density = 3.4 g/cm³; magnetic moment = 0.63 μB per atom; E above lowest polymorph = 0 meV/atom
1.0
3.192 -6.245 0.000
3.192 6.245 0.000
-1.873 0.000 6.080
Np Ti Cl
1 1 6
direct
0.000 0.000 0.000
0.500 0.500 0.500
0.134 0.413 0.270
0.261 0.261 0.735
0.413 0.134 0.270
0.587 0.866 0.730
0.739 0.739 0.265
0.866 0.587 0.730

***

Result set for uncorrected formation energy: -613, -1625 meV/atom, one per record in the order listed.
Result set for DOS(E_F): 0.666, 1.247 states/eV/atom, one per record in the order listed.